Entry 1:
LaAl10Ru2 after structural relaxation. Source: Alexandria, functional PBE.

Results
As for the magnetization: 0.0 μB per formula unit. The calculated total energy is -5.210 eV/atom. The formation energy is -525 meV per atom.

a b c (Å): 6.903 6.903 9.232
angles (deg): 90.00 90.00 96.82
Fractional positions:
Al: 0.772 0.772 0.500
Al: 0.622 0.378 0.949
Al: 0.163 0.837 0.602
Al: 0.163 0.837 0.898
Al: 0.409 0.139 0.750
Al: 0.837 0.163 0.102
Al: 0.378 0.622 0.449
Al: 0.772 0.772 0.000
Al: 0.861 0.591 0.750
Al: 0.519 0.779 0.750
Al: 0.139 0.409 0.250
Al: 0.591 0.861 0.250
Al: 0.779 0.519 0.250
Al: 0.228 0.228 0.500
Al: 0.221 0.481 0.750
Al: 0.622 0.378 0.551
Al: 0.378 0.622 0.051
Al: 0.481 0.221 0.250
Al: 0.228 0.228 0.000
Al: 0.837 0.163 0.398
Ru: 0.500 0.000 0.500
Ru: 0.000 0.500 0.500
Ru: 0.500 0.000 0.000
Ru: 0.000 0.500 0.000
La: 0.123 0.877 0.250
La: 0.877 0.123 0.750

=====

Entry 2:
LaAl2Ru after structural relaxation. Source: Alexandria, functional PBE.

Results
As for the magnetization: 0.0 μB per formula unit. The calculated total energy is -5.619 eV/atom. The formation energy is -197 meV per atom.

a b c (Å): 4.769 4.769 4.769
angles (deg): 60.00 60.00 60.00
Fractional positions:
La: 0.500 0.500 0.500
Ru: 0.000 0.000 0.000
Al: 0.250 0.250 0.250
Al: 0.750 0.750 0.750

=====

For each record above, in turn, the calculated volume values are 436.8 76.7 Å³/cell.